No. 1
First-principles (GGA-PBE) data for a relaxed InAg5 crystal, as listed in the Alexandria database.

Cell and atoms, written as POSCAR:
```
InAg5
1.0
5.352 -1.544 0.000
5.352 1.544 0.000
-2.027 0.000 6.803
In Ag
1 5
direct
0.000 0.000 0.000 In
0.285 0.285 0.076 Ag
0.333 0.333 0.665 Ag
0.620 0.620 0.734 Ag
0.669 0.669 0.339 Ag
0.954 0.954 0.407 Ag
```

Summary:
crystal system	monoclinic
offset from the most stable computed form	0.10	eV/f.u.
space-group type	No. 8
E_tot	-2.836	eV/atom
M_tot	0.00	μB/atom

=====

No. 2
First-principles (GGA-PBE) data for a relaxed In3Ag crystal, as listed in the Alexandria database.

Cell and atoms, written as POSCAR:
```
In3Ag
1.0
3.247 0.000 0.000
0.000 4.680 0.000
-0.643 0.000 6.382
In Ag
3 1
direct
0.000 0.000 0.000 In
0.444 0.500 0.736 In
0.556 0.500 0.264 In
0.000 0.000 0.500 Ag
```

Summary:
crystal system	monoclinic
space-group type	No. 10
E_tot	-2.714	eV/atom
M_tot	0.00	μB/atom

=====

No. 3
First-principles (GGA-PBE) data for a relaxed In2Ag crystal, as listed in the Alexandria database.

Cell and atoms, written as POSCAR:
```
In2Ag
1.0
5.761 0.000 0.000
0.000 7.517 0.000
0.000 0.000 3.326
In Ag
4 2
direct
0.046 0.192 0.000 In
0.454 0.692 0.500 In
0.546 0.308 0.500 In
0.954 0.808 0.000 In
0.000 0.500 0.500 Ag
0.500 0.000 0.000 Ag
```

Summary:
crystal system	orthorhombic
space-group type	No. 58
E_tot	-2.754	eV/atom
M_tot	0.00	μB/atom

=====

No. 4
First-principles (GGA-PBE) data for a relaxed In5Ag3 crystal, as listed in the Alexandria database.

Cell and atoms, written as POSCAR:
```
In5Ag3
1.0
4.331 -4.704 0.000
4.331 4.704 0.000
0.000 0.000 4.468
In Ag
5 3
direct
0.000 0.000 0.000 In
0.000 0.500 0.000 In
0.271 0.271 0.500 In
0.500 0.000 0.000 In
0.729 0.729 0.500 In
0.247 0.753 0.500 Ag
0.500 0.500 0.000 Ag
0.753 0.247 0.500 Ag
```

Summary:
crystal system	orthorhombic
offset from the most stable computed form	0.05	eV/f.u.
space-group type	No. 65
E_tot	-2.736	eV/atom
M_tot	0.00	μB/atom

=====

No. 5
First-principles (GGA-PBE) data for a relaxed InAg crystal, as listed in the Alexandria database.

Cell and atoms, written as POSCAR:
```
InAg
1.0
5.402 -1.589 0.000
5.402 1.589 0.000
-1.778 0.000 4.980
In Ag
2 2
direct
0.112 0.112 0.307 In
0.888 0.888 0.693 In
0.359 0.359 0.180 Ag
0.641 0.641 0.820 Ag
```

Summary:
crystal system	monoclinic
space-group type	No. 12
E_tot	-2.778	eV/atom
M_tot	0.00	μB/atom

=====

No. 6
First-principles (GGA-PBE) data for a relaxed In2Ag5 crystal, as listed in the Alexandria database.

Cell and atoms, written as POSCAR:
```
In2Ag5
1.0
6.423 -3.623 0.000
6.423 3.623 0.000
-0.201 0.000 5.950
In Ag
4 10
direct
0.088 0.697 0.505 In
0.303 0.912 0.995 In
0.697 0.088 0.005 In
0.912 0.303 0.495 In
0.092 0.670 0.005 Ag
0.273 0.275 0.255 Ag
0.275 0.273 0.755 Ag
0.330 0.908 0.495 Ag
0.499 0.501 0.750 Ag
0.501 0.499 0.250 Ag
0.670 0.092 0.505 Ag
0.725 0.727 0.245 Ag
0.727 0.725 0.745 Ag
0.908 0.330 0.995 Ag
```

Summary:
crystal system	monoclinic
offset from the most stable computed form	0.00	eV/f.u.
space-group type	No. 15
E_tot	-2.832	eV/atom
M_tot	0.00	μB/atom

=====

No. 7
First-principles (GGA-PBE) data for a relaxed In2Ag crystal, as listed in the Alexandria database.

Cell and atoms, written as POSCAR:
```
In2Ag
1.0
6.506 -1.703 0.000
6.506 1.703 0.000
-0.061 0.000 3.170
In Ag
2 1
direct
0.149 0.149 0.011 In
0.851 0.851 0.989 In
0.500 0.500 0.500 Ag
```

Summary:
crystal system	monoclinic
space-group type	No. 12
E_tot	-2.776	eV/atom
M_tot	0.00	μB/atom

=====

No. 8
First-principles (GGA-PBE) data for a relaxed In2Ag3 crystal, as listed in the Alexandria database.

Cell and atoms, written as POSCAR:
```
In2Ag3
1.0
3.266 0.000 0.000
1.605 4.845 0.000
1.577 0.659 13.007
In Ag
4 6
direct
0.000 0.000 0.000 In
0.066 0.371 0.491 In
0.420 0.459 0.709 In
0.490 0.828 0.200 In
0.114 0.998 0.785 Ag
0.245 0.414 0.100 Ag
0.373 0.832 0.415 Ag
0.712 0.271 0.298 Ag
0.743 0.915 0.600 Ag
0.777 0.557 0.903 Ag
```

Summary:
crystal system	triclinic
space-group type	No. 1
E_tot	-2.798	eV/atom
M_tot	0.00	μB/atom

=====

No. 9
First-principles (GGA-PBE) data for a relaxed In12Ag17 crystal, as listed in the Alexandria database.

Cell and atoms, written as POSCAR:
```
In12Ag17
1.0
-5.336 5.336 5.336
5.336 -5.336 5.336
5.336 5.336 -5.336
In Ag
12 17
direct
0.000 0.197 0.392 In
0.000 0.392 0.197 In
0.195 0.803 0.803 In
0.197 0.000 0.392 In
0.197 0.392 0.000 In
0.392 0.000 0.197 In
0.392 0.197 0.000 In
0.608 0.608 0.805 In
0.608 0.805 0.608 In
0.803 0.195 0.803 In
0.803 0.803 0.195 In
0.805 0.608 0.608 In
0.000 0.000 0.000 Ag
0.000 0.000 0.679 Ag
0.000 0.419 0.692 Ag
0.000 0.679 0.000 Ag
0.000 0.692 0.419 Ag
0.273 0.581 0.581 Ag
0.308 0.308 0.727 Ag
0.308 0.727 0.308 Ag
0.321 0.321 0.321 Ag
0.419 0.000 0.692 Ag
0.419 0.692 0.000 Ag
0.581 0.273 0.581 Ag
0.581 0.581 0.273 Ag
0.679 0.000 0.000 Ag
0.692 0.000 0.419 Ag
0.692 0.419 0.000 Ag
0.727 0.308 0.308 Ag
```

Summary:
crystal system	cubic
space-group type	No. 217
E_tot	-2.723	eV/atom
M_tot	0.00	μB/atom

=====

No. 10
First-principles (GGA-PBE) data for a relaxed In2Ag crystal, as listed in the Alexandria database.

Cell and atoms, written as POSCAR:
```
In2Ag
1.0
-1.619 1.619 6.623
1.619 -1.619 6.623
1.619 1.619 -6.623
In Ag
2 1
direct
0.154 0.154 0.000 In
0.846 0.846 0.000 In
0.500 0.500 0.000 Ag
```

Summary:
crystal system	tetragonal
space-group type	No. 139
E_tot	-2.739	eV/atom
M_tot	0.00	μB/atom

=====

No. 11
First-principles (GGA-PBE) data for a relaxed InAg crystal, as listed in the Alexandria database.

Cell and atoms, written as POSCAR:
```
InAg
1.0
6.019 0.000 0.000
0.000 7.115 0.000
0.000 0.000 8.412
In Ag
8 8
direct
0.147 0.229 0.309 In
0.193 0.211 0.921 In
0.307 0.789 0.421 In
0.353 0.771 0.809 In
0.647 0.271 0.691 In
0.693 0.289 0.079 In
0.807 0.711 0.579 In
0.853 0.729 0.191 In
0.065 0.054 0.619 Ag
0.210 0.442 0.614 Ag
0.290 0.558 0.114 Ag
0.435 0.946 0.119 Ag
0.565 0.446 0.381 Ag
0.710 0.058 0.386 Ag
0.790 0.942 0.886 Ag
0.935 0.554 0.881 Ag
```

Summary:
crystal system	orthorhombic
space-group type	No. 19
E_tot	-2.761	eV/atom
M_tot	0.00	μB/atom

=====

No. 12
First-principles (GGA-PBE) data for a relaxed InAg crystal, as listed in the Alexandria database.

Cell and atoms, written as POSCAR:
```
InAg
1.0
0.000 4.379 7.887
2.689 0.000 7.887
2.689 4.379 0.000
In Ag
4 4
direct
0.043 0.707 0.043 In
0.293 0.957 0.293 In
0.707 0.043 0.707 In
0.957 0.293 0.957 In
0.287 0.287 0.463 Ag
0.463 0.463 0.287 Ag
0.537 0.537 0.713 Ag
0.713 0.713 0.537 Ag
```

Summary:
crystal system	orthorhombic
space-group type	No. 70
E_tot	-2.674	eV/atom
M_tot	0.00	μB/atom

=====

No. 13
First-principles (GGA-PBE) data for a relaxed In5Ag4 crystal, as listed in the Alexandria database.

Cell and atoms, written as POSCAR:
```
In5Ag4
1.0
5.554 -1.653 0.000
5.554 1.653 0.000
-4.004 0.000 11.159
In Ag
5 4
direct
0.000 0.000 0.000 In
0.122 0.122 0.394 In
0.262 0.262 0.820 In
0.738 0.738 0.180 In
0.878 0.878 0.606 In
0.384 0.384 0.397 Ag
0.461 0.461 0.186 Ag
0.539 0.539 0.814 Ag
0.616 0.616 0.603 Ag
```

Summary:
crystal system	monoclinic
offset from the most stable computed form	0.00	eV/f.u.
space-group type	No. 12
E_tot	-2.758	eV/atom
M_tot	0.00	μB/atom

=====

No. 14
First-principles (GGA-PBE) data for a relaxed In3Ag crystal, as listed in the Alexandria database.

Cell and atoms, written as POSCAR:
```
In3Ag
1.0
4.593 0.000 0.000
0.000 4.593 0.000
0.000 0.000 4.593
In Ag
3 1
direct
0.000 0.000 0.500 In
0.000 0.500 0.000 In
0.500 0.000 0.000 In
0.500 0.500 0.500 Ag
```

Summary:
crystal system	cubic
space-group type	No. 221
E_tot	-2.715	eV/atom
M_tot	0.00	μB/atom

=====

No. 15
First-principles (GGA-PBE) data for a relaxed InAg5 crystal, as listed in the Alexandria database.

Cell and atoms, written as POSCAR:
```
InAg5
1.0
2.975 0.000 0.000
0.000 2.975 0.000
0.000 0.000 12.769
In Ag
1 5
direct
0.000 0.000 0.000 In
0.000 0.000 0.339 Ag
0.000 0.000 0.661 Ag
0.500 0.500 0.177 Ag
0.500 0.500 0.500 Ag
0.500 0.500 0.823 Ag
```

Summary:
crystal system	tetragonal
offset from the most stable computed form	0.32	eV/f.u.
space-group type	No. 123
E_tot	-2.800	eV/atom
M_tot	0.00	μB/atom

=====

No. 16
First-principles (GGA-PBE) data for a relaxed InAg7 crystal, as listed in the Alexandria database.

Cell and atoms, written as POSCAR:
```
InAg7
1.0
0.000 4.193 4.193
4.193 0.000 4.193
4.193 4.193 0.000
In Ag
1 7
direct
0.000 0.000 0.000 In
0.000 0.000 0.500 Ag
0.000 0.500 0.000 Ag
0.000 0.500 0.500 Ag
0.500 0.000 0.000 Ag
0.500 0.000 0.500 Ag
0.500 0.500 0.000 Ag
0.500 0.500 0.500 Ag
```

Summary:
crystal system	cubic
space-group type	No. 225
E_tot	-2.860	eV/atom
M_tot	0.00	μB/atom

=====

No. 17
First-principles (GGA-PBE) data for a relaxed InAg crystal, as listed in the Alexandria database.

Cell and atoms, written as POSCAR:
```
InAg
1.0
2.355 1.359 4.869
-2.355 1.359 4.869
0.000 -2.719 4.869
In Ag
2 2
direct
0.106 0.106 0.106 In
0.894 0.894 0.894 In
0.306 0.306 0.306 Ag
0.694 0.694 0.694 Ag
```

Summary:
crystal system	trigonal
space-group type	No. 166
E_tot	-2.744	eV/atom
M_tot	0.00	μB/atom

=====

No. 18
First-principles (GGA-PBE) data for a relaxed InAg crystal, as listed in the Alexandria database.

Cell and atoms, written as POSCAR:
```
InAg
1.0
-5.295 5.295 1.634
5.295 -5.295 1.634
5.295 5.295 -1.634
In Ag
4 4
direct
0.109 0.824 0.933 In
0.176 0.109 0.285 In
0.824 0.891 0.715 In
0.891 0.176 0.067 In
0.091 0.369 0.461 Ag
0.369 0.909 0.278 Ag
0.631 0.091 0.722 Ag
0.909 0.631 0.539 Ag
```

Summary:
crystal system	tetragonal
space-group type	No. 87
E_tot	-2.734	eV/atom
M_tot	0.00	μB/atom

=====

No. 19
First-principles (GGA-PBE) data for a relaxed In3Ag crystal, as listed in the Alexandria database.

Cell and atoms, written as POSCAR:
```
In3Ag
1.0
1.681 0.971 9.820
-1.681 0.971 9.820
0.000 -1.941 9.820
In Ag
3 1
direct
0.000 0.000 0.000 In
0.244 0.244 0.244 In
0.756 0.756 0.756 In
0.500 0.500 0.500 Ag
```

Summary:
crystal system	trigonal
space-group type	No. 166
E_tot	-2.747	eV/atom
M_tot	0.00	μB/atom

=====

No. 20
First-principles (GGA-PBE) data for a relaxed InAg5 crystal, as listed in the Alexandria database.

Cell and atoms, written as POSCAR:
```
InAg5
1.0
2.135 -6.201 0.000
2.135 6.201 0.000
0.000 0.000 4.215
In Ag
1 5
direct
0.000 0.000 0.000 In
0.169 0.831 0.500 Ag
0.332 0.668 0.000 Ag
0.500 0.500 0.500 Ag
0.668 0.332 0.000 Ag
0.831 0.169 0.500 Ag
```

Summary:
crystal system	orthorhombic
offset from the most stable computed form	0.04	eV/f.u.
space-group type	No. 65
E_tot	-2.847	eV/atom
M_tot	0.00	μB/atom